Entry from the Alexandria database: a crystal of Cd3ReHg relaxed with PBEsol (meta-GGA SCAN).

a b c (Å): 5.2532 5.2532 5.2532
angles (deg): 90.00 90.00 90.00
With the nearest neighbours (Å) after each atom.
Sites, in units of the cell vectors:
Re: 0.0000 0.0000 0.0000  6 Cd 2.63
Hg: 0.5000 0.5000 0.5000  12 Cd 3.71
Cd: 0.0000 0.5000 0.0000  2 Re 2.63
Cd: 0.0000 0.0000 0.5000  2 Re 2.63
Cd: 0.5000 0.0000 0.0000  2 Re 2.63

Values from the calculation:
As for the space-group type: Pm-3m (221). The total energy is -225.545 eV per cell. Its density of states at the Fermi level is 2.6 states/eV per cell.